Entry 1:
VASP calculation (GGA+U) on a relaxed VSiN2O crystal.

Unit cell a=4.041 b=4.041 c=3.230 alpha=90.00 beta=90.00 gamma=90.00
Element x y z (fractional)
V 0.000 0.000 0.000
Si 0.500 0.500 0.000
N 0.000 0.500 0.500
N 0.500 0.000 0.500
O 0.500 0.500 0.500

Summary:
ρ   3.87 Mg/m³
VASP energy   -5.4793 eV/atom
V   53 Å³/cell
Crystal system   tetragonal

***

Entry 2:
VASP calculation (GGA+U) on a relaxed VSiN2O crystal.

Unit cell a=3.594 b=3.594 c=3.527 alpha=90.00 beta=90.00 gamma=90.00
Element x y z (fractional)
V 0.000 0.000 0.000
Si 0.500 0.500 0.500
N 0.000 0.500 0.500
N 0.500 0.000 0.500
O 0.500 0.500 0.000

Summary:
ρ   4.48 Mg/m³
VASP energy   -7.2380 eV/atom
V   46 Å³/cell
Crystal system   tetragonal